1.
Compound: SmZnCdAu
Source: the Alexandria database
Functional: PBE
Structure: relaxed

a = 4.939 Å, b = 4.939 Å, c = 4.939 Å
α = 60.00°, β = 60.00°, γ = 60.00°
Positions (direct):
Zn  0.000  0.000  0.000
Au  0.500  0.500  0.500
Sm  0.250  0.250  0.250
Cd  0.750  0.750  0.750

E_form: -0.50 eV per atom
M_tot: 0.0 μB/cell

---

2.
Compound: SmZnCdAu2
Source: the Alexandria database
Functional: PBE
Structure: relaxed

a = 5.653 Å, b = 5.626 Å, c = 7.552 Å
α = 111.87°, β = 90.00°, γ = 90.00°
Positions (direct):
Sm  0.250  0.750  0.500
Sm  0.750  0.250  0.500
Zn  0.000  0.000  0.000
Zn  0.000  0.500  0.000
Cd  0.500  0.750  0.000
Cd  0.500  0.250  0.000
Au  0.752  0.849  0.697
Au  0.752  0.651  0.303
Au  0.248  0.349  0.697
Au  0.248  0.151  0.303

E_form: -0.43 eV per atom
M_tot: 0.0 μB/cell

---

3.
Compound: SmZn2CdAu5
Source: the Alexandria database
Functional: PBE
Structure: relaxed

a = 4.862 Å, b = 4.862 Å, c = 7.801 Å
α = 90.00°, β = 90.00°, γ = 90.00°
Positions (direct):
Sm  0.000  0.000  0.500
Zn  0.500  0.500  0.154
Zn  0.500  0.500  0.846
Cd  0.000  0.000  0.000
Au  0.000  0.500  0.257
Au  0.500  0.000  0.257
Au  0.000  0.500  0.743
Au  0.500  0.000  0.743
Au  0.500  0.500  0.500

E_form: -0.29 eV per atom
M_tot: 0.0 μB/cell

---

4.
Compound: SmZn2CdAu2
Source: the Alexandria database
Functional: PBE
Structure: relaxed

a = 4.571 Å, b = 4.571 Å, c = 6.698 Å
α = 90.00°, β = 90.00°, γ = 120.00°
Positions (direct):
Sm  0.000  0.000  0.000
Zn  0.333  0.667  0.711
Zn  0.667  0.333  0.289
Cd  0.000  0.000  0.500
Au  0.333  0.667  0.263
Au  0.667  0.333  0.737

E_form: -0.47 eV per atom
M_tot: 0.0 μB/cell

---

5.
Compound: SmZn2Cd2Au2
Source: the Alexandria database
Functional: PBE
Structure: relaxed

a = 4.592 Å, b = 4.592 Å, c = 8.486 Å
α = 74.30°, β = 74.30°, γ = 60.00°
Positions (direct):
Sm  0.000  0.000  0.000
Zn  0.595  0.595  0.216
Zn  0.405  0.405  0.784
Cd  0.136  0.136  0.593
Cd  0.864  0.864  0.407
Au  0.741  0.741  0.777
Au  0.259  0.259  0.223

E_form: -0.40 eV per atom
M_tot: 0.0 μB/cell

---

6.
Compound: SmZrCdAu
Source: the Alexandria database
Functional: PBE
Structure: relaxed

a = 5.112 Å, b = 5.112 Å, c = 5.112 Å
α = 60.00°, β = 60.00°, γ = 60.00°
Positions (direct):
Au  0.250  0.250  0.250
Zr  0.000  0.000  0.000
Sm  0.500  0.500  0.500
Cd  0.750  0.750  0.750

E_form: -0.30 eV per atom
M_tot: 1.3 μB/cell

---

7.
Compound: Cd2Sn2Au3
Source: the Alexandria database
Functional: PBE
Structure: relaxed

a = 4.452 Å, b = 5.739 Å, c = 7.066 Å
α = 104.70°, β = 108.37°, γ = 90.00°
Positions (direct):
Cd  0.195  0.343  0.390
Cd  0.805  0.657  0.610
Sn  0.439  0.236  0.878
Sn  0.561  0.764  0.122
Au  0.000  0.000  0.000
Au  0.201  0.837  0.401
Au  0.799  0.163  0.599

E_form: -0.12 eV per atom
M_tot: 0.0 μB/cell
E above lowest polymorph: 35 meV per atom

---

8.
Compound: CdSnAu2
Source: the Alexandria database
Functional: PBE
Structure: relaxed

a = 4.165 Å, b = 4.165 Å, c = 6.679 Å
α = 71.83°, β = 71.83°, γ = 60.00°
Positions (direct):
Au  0.750  0.750  0.749
Au  0.250  0.250  0.251
Sn  0.000  0.000  0.000
Cd  0.500  0.500  0.500

E_form: -0.09 eV per atom
M_tot: 0.0 μB/cell

---

Number 3 is which compound? SmZn2CdAu5

---

Look up the M_tot of the first one. 0.0 μB/cell

---

Copy entry 5 word for word.
Compound: SmZn2Cd2Au2
Source: the Alexandria database
Functional: PBE
Structure: relaxed

a = 4.592 Å, b = 4.592 Å, c = 8.486 Å
α = 74.30°, β = 74.30°, γ = 60.00°
Positions (direct):
Sm  0.000  0.000  0.000
Zn  0.595  0.595  0.216
Zn  0.405  0.405  0.784
Cd  0.136  0.136  0.593
Cd  0.864  0.864  0.407
Au  0.741  0.741  0.777
Au  0.259  0.259  0.223

E_form: -0.40 eV per atom
M_tot: 0.0 μB/cell